Entry from Alexandria via LeMat-Bulk: an optimized crystal structure of Pr4ZnGe2 (GGA-PBE).

Calculated values
* total DFT energy (no corrections): -97.82 eV per cell
* density of states at the Fermi level: 6.20 states/eV/f.u.

Cell: 5.1061 5.1061 26.8849 Å, 90.00 90.00 120.00°
Space group R-3m (No. 166, hexagonal axes)
One atom of each set of equivalent atoms:
Pr1 0.0000 0.0000 0.1226 [6 per cell]
Pr2 0.0000 0.0000 0.2913 [6 per cell]
Zn1 0.0000 0.0000 0.5000 [3 per cell]
Ge1 0.0000 0.0000 0.4068 [6 per cell]

=====

Entry from Alexandria via LeMat-Bulk: an optimized crystal structure of LiB2Pt (GGA-PBE).

Calculated values
* density of states at the Fermi level: 2.15 states/eV/f.u.
* relative energy among the computed polymorphs: 0 meV per atom

Cell: 3.519 3.519 15.600 Å, 90.00 90.00 90.00°
Space group I4_1/amd (No. 141, origin choice 2)
One atom of each set of equivalent atoms:
Li1 0.000 0.250 0.375 [4 per cell]
B1 0.000 0.000 0.000 [8 per cell]
Pt1 0.000 0.250 0.875 [4 per cell]

=====

Entry from Alexandria via LeMat-Bulk: an optimized crystal structure of In2GaBi (GGA-PBE).

Calculated values
* density of states at the Fermi level: 2.21 states/eV/f.u.
* relative energy among the computed polymorphs: 20 meV per atom

Cell: 7.586 7.586 7.586 Å, 90.00 90.00 90.00°
Space group Fm-3m (No. 225)
One atom of each set of equivalent atoms:
In1 0.250 0.250 0.250 [8 per cell]
Ga1 0.000 0.000 0.000 [4 per cell]
Bi1 0.000 0.000 0.500 [4 per cell]

=====

Among the records above, which one has the lowest density of states at the Fermi level? LiB2Pt